VASP calculation (GGA-PBE) on a geometry-optimized La5MoN8 structure.

Cell lengths 7.1610, 7.1610, 7.1610 Å; angles 119.88, 119.88, 90.20 degrees
Atoms (fractional coordinates):
La (0.0000, 0.0000, 0.0000)
La (0.1189, 0.3430, 0.7160)
La (0.5971, 0.8811, 0.2241)
La (0.6270, 0.4029, 0.2840)
La (0.6570, 0.3730, 0.7759)
Mo (0.2500, 0.7500, 0.5000)
N (0.3472, 0.6403, 0.2726)
N (0.3597, 0.6323, 0.7068)
N (0.3677, 0.0746, 0.7274)
N (0.4159, 0.1518, 0.2926)
N (0.8482, 0.1408, 0.2641)
N (0.8592, 0.1233, 0.7074)
N (0.8767, 0.5841, 0.7359)
N (0.9254, 0.6528, 0.2932)

Computed properties:
As for the magnetization: 3.120 μB/cell. The mass density is 5.76 g/cm³. The calculation puts the density of states at the Fermi level at 8.09 states/eV/cell. As for the formation energy from raw total energies: -0.740 eV per atom.



VASP calculation (GGA-PBE) on a geometry-optimized La2MoN4 structure.

Cell lengths 3.9929, 3.9929, 12.7491 Å; angles 90.00, 90.00, 90.00 degrees
Atoms (fractional coordinates):
La (0.0000, 0.0000, 0.1444)
La (0.0000, 0.0000, 0.8556)
La (0.5000, 0.5000, 0.3556)
La (0.5000, 0.5000, 0.6444)
Mo (0.0000, 0.0000, 0.5000)
Mo (0.5000, 0.5000, 0.0000)
N (0.0000, 0.0000, 0.3354)
N (0.0000, 0.0000, 0.6646)
N (0.0000, 0.5000, 0.0000)
N (0.0000, 0.5000, 0.5000)
N (0.5000, 0.0000, 0.0000)
N (0.5000, 0.0000, 0.5000)
N (0.5000, 0.5000, 0.1646)
N (0.5000, 0.5000, 0.8354)

Computed properties:
The value obtained for the energy relative to the lowest polymorph listed for this composition is 0.0395 eV per atom. As for the magnetization: 0.000 μB/cell. The mass density is 7.02 g/cm³. The calculation puts the density of states at the Fermi level at 2.40 states/eV/cell. As for the formation energy from raw total energies: -1.015 eV per atom.



VASP calculation (GGA-PBE) on a geometry-optimized LaMoN2 structure.

Cell lengths 4.0712, 4.0712, 3.4858 Å; angles 90.00, 90.00, 90.00 degrees
Atoms (fractional coordinates):
La (0.0000, 0.0000, 0.0000)
Mo (0.5000, 0.5000, 0.5000)
N (0.0000, 0.5000, 0.5000)
N (0.5000, 0.0000, 0.5000)

Computed properties:
The value obtained for the energy relative to the lowest polymorph listed for this composition is 0.0000 eV per atom. As for the magnetization: 0.000 μB/cell. The mass density is 7.55 g/cm³. The calculation puts the density of states at the Fermi level at 1.97 states/eV/cell. As for the formation energy from raw total energies: -1.002 eV per atom.



VASP calculation (GGA-PBE) on a geometry-optimized Na2LaMoN4 structure.

Cell lengths 7.2827, 6.8301, 5.7065 Å; angles 90.00, 90.00, 90.00 degrees
Atoms (fractional coordinates):
Na (0.2448, 0.1497, 0.0000)
Na (0.2552, 0.8503, 0.5000)
Na (0.7448, 0.8503, 0.5000)
Na (0.7552, 0.1497, 0.0000)
La (0.0000, 0.3663, 0.4960)
La (0.5000, 0.6337, 0.9960)
Mo (0.0000, 0.6784, 0.0186)
Mo (0.5000, 0.3216, 0.5186)
N (0.0000, 0.4115, 0.9355)
N (0.0000, 0.6809, 0.3448)
N (0.2183, 0.8019, 0.9208)
N (0.2817, 0.1981, 0.4208)
N (0.5000, 0.3191, 0.8448)
N (0.5000, 0.5885, 0.4355)
N (0.7183, 0.1981, 0.4208)
N (0.7817, 0.8019, 0.9208)

Computed properties:
As for the magnetization: 2.069 μB/cell. The mass density is 3.94 g/cm³. The calculation puts the density of states at the Fermi level at 7.41 states/eV/cell. As for the formation energy from raw total energies: -0.512 eV per atom.



VASP calculation (GGA-PBE) on a geometry-optimized NaLaMoN3 structure.

Cell lengths 6.7682, 6.7682, 7.4063 Å; angles 106.79, 106.79, 34.68 degrees
Atoms (fractional coordinates):
Na (0.1633, 0.1633, 0.0682)
Na (0.8367, 0.8367, 0.9318)
La (0.1492, 0.1492, 0.5706)
La (0.8508, 0.8508, 0.4294)
Mo (0.4951, 0.4951, 0.7994)
Mo (0.5049, 0.5049, 0.2006)
N (0.0122, 0.0122, 0.2142)
N (0.3436, 0.3436, 0.6208)
N (0.3624, 0.3624, 0.2079)
N (0.6376, 0.6376, 0.7921)
N (0.6564, 0.6564, 0.3792)
N (0.9878, 0.9878, 0.7858)

Computed properties:
As for the magnetization: 0.000 μB/cell. The mass density is 5.41 g/cm³. The calculation puts the density of states at the Fermi level at 4.46 states/eV/cell. As for the formation energy from raw total energies: -0.586 eV per atom.



VASP calculation (GGA-PBE) on a geometry-optimized La2NbMoN5 structure.

Cell lengths 7.0109, 7.0109, 10.7685 Å; angles 90.00, 90.00, 151.90 degrees
Atoms (fractional coordinates):
La (0.1093, 0.8907, 0.5000)
La (0.1464, 0.8536, 0.1060)
La (0.8536, 0.1464, 0.6060)
La (0.8907, 0.1093, 0.0000)
Nb (0.2201, 0.7799, 0.8222)
Nb (0.7799, 0.2201, 0.3222)
Mo (0.4707, 0.5293, 0.2706)
Mo (0.5293, 0.4707, 0.7706)
N (0.0478, 0.9522, 0.8555)
N (0.2814, 0.7186, 0.4536)
N (0.3190, 0.6810, 0.1957)
N (0.3656, 0.6344, 0.8101)
N (0.4913, 0.5087, 0.6017)
N (0.5087, 0.4913, 0.1017)
N (0.6344, 0.3656, 0.3101)
N (0.6810, 0.3190, 0.6957)
N (0.7186, 0.2814, 0.9536)
N (0.9522, 0.0478, 0.3555)

Computed properties:
As for the magnetization: 0.000 μB/cell. The mass density is 7.15 g/cm³. The calculation puts the density of states at the Fermi level at 7.22 states/eV/cell. As for the formation energy from raw total energies: -1.046 eV per atom.